Density functional theory data (GGA-PBE) for an optimized crystal structure of BaSrSi2.

Values from the calculation:
* raw formation energy: -0.017 eV per atom

Unit cell a=3.6142 b=3.6142 c=9.3012 alpha=90.00 beta=90.00 gamma=90.00
With the nearest neighbours (Å) after each atom.
Space group P4mm (No. 99)
Inequivalent atoms, fractional coordinates:
Ba  0.0000  0.0000  0.0000 x1  5 Si 3.21-3.48
Sr  0.5000  0.5000  0.5853 x1  5 Si 3.09-3.39
Si  0.0000  0.0000  0.3456 x1  4 Si 2.70
Si  0.5000  0.5000  0.2532 x1  4 Si 2.70

Density functional theory data (GGA-PBE) for an optimized crystal structure of Ac2TlZn.

Values from the calculation:
* formation enthalpy at 0 K: -1.18 eV/f.u.

Unit cell a=3.9776 b=3.9776 c=8.2228 alpha=90.00 beta=90.00 gamma=90.00
With the nearest neighbours (Å) after each atom.
Space group P4/mmm (No. 123)
Inequivalent atoms, fractional coordinates:
Ac  0.0000  0.0000  0.2293 x2  4 Zn 3.39, 4 Tl 3.59, 1 Ac 3.77
Tl  0.5000  0.5000  0.5000 x1  8 Ac 3.59, 4 Tl 3.98
Zn  0.5000  0.5000  0.0000 x1  8 Ac 3.39

Density functional theory data (GGA-PBE) for an optimized crystal structure of Na3Pr2YS6.

Values from the calculation:
* raw formation energy: -1.801 eV per atom

Unit cell a=7.1148 b=12.3225 c=7.1083 alpha=90.00 beta=109.51 gamma=90.00
With the nearest neighbours (Å) after each atom.
Space group C2/m (No. 12)
Inequivalent atoms, fractional coordinates:
Na  0.0000  0.0000  0.0000 x2  6 S 2.95-3.04
Na  0.0000  0.3339  0.0000 x4  6 S 2.95-3.03
Pr  0.0000  0.1667  0.5000 x4  6 S 2.86-2.87
Y  0.0000  0.5000  0.5000 x2  6 S 2.77-2.78
S  0.2393  0.3381  0.7325 x8  1 Y 2.78, 2 Pr 2.87, 3 Na 2.95-3.03
S  0.2465  0.5000  0.2691 x4  1 Y 2.77, 2 Pr 2.86, 3 Na 2.95-3.04

Density functional theory data (GGA-PBE) for an optimized crystal structure of HoTh2O.

Values from the calculation:
* raw formation energy: -0.929 eV per atom

Unit cell a=3.4837 b=3.4837 c=29.6349 alpha=90.00 beta=90.00 gamma=120.00
With the nearest neighbours (Å) after each atom.
Space group R-3m (No. 166, hexagonal axes)
Inequivalent atoms, fractional coordinates:
Ho  0.0000  0.0000  0.0000 x3  2 Th 3.37, 6 Ho 3.48
Th  0.0000  0.0000  0.1138 x6  3 O 2.55
O  0.0000  0.0000  0.5000 x3  6 Th 2.55

Density functional theory data (GGA-PBE) for an optimized crystal structure of Ho2TaVN5.

Values from the calculation:
* raw formation energy: -1.337 eV per atom

Unit cell a=3.2405 b=13.1326 c=10.0662 alpha=90.00 beta=90.00 gamma=90.00
With the nearest neighbours (Å) after each atom.
Space group Cmc2_1 (No. 36)
Inequivalent atoms, fractional coordinates:
Ho  0.0000  0.1093  0.0000 x4  6 N 2.33-2.53
Ho  0.0000  0.1416  0.6023 x4  7 N 2.38-2.64
Ta  0.0000  0.2172  0.3175 x4  5 N 1.99-2.16
V  0.0000  0.4770  0.7669 x4  3 N 1.80-1.87
N  0.0000  0.0477  0.3536 x4  2 V 1.87
N  0.0000  0.2838  0.9590 x4  2 Ta 2.16, 3 Ho 2.33-2.38
N  0.0000  0.3156  0.6835 x4  2 Ta 2.15, 1 V 2.28
N  0.0000  0.3686  0.3086 x4  1 Ta 1.99, 1 V 2.07
N  0.0000  0.4927  0.0929 x4  1 V 1.80

Density functional theory data (GGA-PBE) for an optimized crystal structure of CaBeCd3.

Values from the calculation:
* formation enthalpy at 0 K: 5.41 eV/f.u.

Unit cell a=6.0833 b=6.0833 c=6.0833 alpha=90.00 beta=90.00 gamma=90.00
With the nearest neighbours (Å) after each atom.
Space group Pm-3m (No. 221)
Inequivalent atoms, fractional coordinates:
Ca  0.0000  0.0000  0.0000 x1  6 Cd 3.04
Be  0.5000  0.5000  0.5000 x1  12 Cd 4.30
Cd  0.0000  0.0000  0.5000 x3  2 Ca 3.04

Going through the records in order, we get volume values of 30.37; 32.52; 24.48; 25.96; 11.90; 45.02 Å³/atom.